CeTm3Hg2 after structural relaxation. Source: Alexandria via LeMat-Bulk, functional PBE-GGA.

Calculated values
* symmetry: P4/mmm, No. 123
* energy relative to the elements: -286 meV/atom
* magnetic moment: 0.32 μB/f.u.
* density of states at the Fermi level: 8.269 states/eV per cell

abc: 3.6270 3.6270 12.0334
angles: 90.00 90.00 90.00
Last column: magnetic moment on the atom in μB.
Element x y z (fractional)
Ce1 0.5000 0.5000 0.5000  0.29
Tm1 0.0000 0.0000 0.0000  -0.01
Tm2 0.0000 0.0000 0.6906  0.00
Tm3 0.0000 0.0000 0.3094  0.00
Hg1 0.5000 0.5000 0.8440  0.00
Hg2 0.5000 0.5000 0.1560  0.00



CsCuTc2 after structural relaxation. Source: Alexandria via LeMat-Bulk, functional PBE-GGA.

Calculated values
* distance to the lowest polymorph of the same formula: 401 meV per atom
* symmetry: Fm-3m, No. 225
* energy relative to the elements: 1890 meV/atom
* magnetic moment: 0.00 μB/f.u.
* density of states at the Fermi level: 5.232 states/eV per cell

abc: 4.6036 4.6036 4.6036
angles: 60.00 60.00 60.00
Element x y z (fractional)
Cs1 0.5000 0.5000 0.5000
Tc1 0.2500 0.2500 0.2500
Tc2 0.7500 0.7500 0.7500
Cu1 0.0000 0.0000 0.0000



BeTeSe2N after structural relaxation. Source: Alexandria via LeMat-Bulk, functional PBE-GGA.

Calculated values
* distance to the lowest polymorph of the same formula: 0 meV per atom
* symmetry: P4/mmm, No. 123
* E_form (uncorrected): 507 meV/atom
* magnetic moment: 0.00 μB/f.u.
* density of states at the Fermi level: 3.100 states/eV per cell

abc: 5.1480 5.1480 3.2438
angles: 90.00 90.00 90.00
Element x y z (fractional)
Be1 0.0000 0.0000 0.0000
Te1 0.5000 0.5000 0.5000
Se1 0.0000 0.5000 0.0000
Se2 0.5000 0.0000 0.0000
N1 0.0000 0.0000 0.5000



Ac2ThIr9 after structural relaxation. Source: Alexandria via LeMat-Bulk, functional PBE-GGA.

Calculated values
* symmetry: R-3m, No. 166
* energy relative to the elements: -496 meV/atom
* magnetic moment: 0.00 μB/f.u.
* density of states at the Fermi level: 11.417 states/eV per cell

abc: 5.4233 5.4233 9.5884
angles: 73.57 73.57 60.00
Element x y z (fractional)
Ac1 0.8600 0.8600 0.4200
Ac2 0.1400 0.1400 0.5800
Th1 0.0000 0.0000 0.0000
Ir1 0.6679 0.6679 0.9964
Ir2 0.3321 0.3321 0.0036
Ir3 0.5000 0.5000 0.5000
Ir4 0.4231 0.4231 0.2363
Ir5 0.9176 0.4231 0.2363
Ir6 0.4231 0.9176 0.2363
Ir7 0.5769 0.5769 0.7637
Ir8 0.5769 0.0824 0.7637
Ir9 0.0824 0.5769 0.7637



What did the first record say?
CeTm3Hg2 after structural relaxation. Source: Alexandria via LeMat-Bulk, functional PBE-GGA.

Calculated values
* symmetry: P4/mmm, No. 123
* energy relative to the elements: -286 meV/atom
* magnetic moment: 0.32 μB/f.u.
* density of states at the Fermi level: 8.269 states/eV per cell

abc: 3.6270 3.6270 12.0334
angles: 90.00 90.00 90.00
Last column: magnetic moment on the atom in μB.
Element x y z (fractional)
Ce1 0.5000 0.5000 0.5000  0.29
Tm1 0.0000 0.0000 0.0000  -0.01
Tm2 0.0000 0.0000 0.6906  0.00
Tm3 0.0000 0.0000 0.3094  0.00
Hg1 0.5000 0.5000 0.8440  0.00
Hg2 0.5000 0.5000 0.1560  0.00



Which value of density of states at the Fermi level does entry 2 give?
5.232 states/eV per cell



Look up the density of states at the Fermi level of the first one.
8.269 states/eV per cell